[1]
This record from Alexandria describes a relaxed Pm7Ho2Er crystal. The functional is GGA-PBE.

Values from the calculation:
calculated formation energy: 62.81 kJ per mole of atoms
crystal system: orthorhombic

CIF file:
```
data_Pm7Ho2Er
_chemical_formula_sum 'Pm14 Ho4 Er2'
_space_group_name_H-M_alt 'C m m m'
_space_group_IT_number 65
_space_group_name_Hall '-C 2 2'
_cell_length_a 8.7815
_cell_length_b 16.6668
_cell_length_c 5.5663
_cell_angle_alpha 90.00
_cell_angle_beta 90.00
_cell_angle_gamma 90.00
loop_
_atom_site_label
_atom_site_type_symbol
_atom_site_fract_x
_atom_site_fract_y
_atom_site_fract_z
Pm1 Pm 0.0000 0.0000 0.0000
Pm2 Pm 0.0000 0.2878 0.5000
Pm3 Pm 0.1785 0.3883 0.0000
Ho1 Ho 0.0000 0.2052 0.0000
Er1 Er 0.0000 0.5000 0.5000
```


[2]
This record from Alexandria describes a relaxed Rb2InBi crystal. The functional is GGA-PBE.

Values from the calculation:
calculated formation energy: -8.25 kJ per mole of atoms
crystal system: cubic

CIF file:
```
data_Rb2InBi
_chemical_formula_sum 'Rb8 In4 Bi4'
_space_group_name_H-M_alt 'F m -3 m'
_space_group_IT_number 225
_space_group_name_Hall '-F 4 2 3'
_cell_length_a 8.7680
_cell_length_b 8.7680
_cell_length_c 8.7680
_cell_angle_alpha 90.00
_cell_angle_beta 90.00
_cell_angle_gamma 90.00
loop_
_atom_site_label
_atom_site_type_symbol
_atom_site_fract_x
_atom_site_fract_y
_atom_site_fract_z
Rb1 Rb 0.2500 0.2500 0.2500
In1 In 0.0000 0.0000 0.0000
Bi1 Bi 0.0000 0.0000 0.5000
```


[3]
This record from Alexandria describes a relaxed ZnRu2Se crystal. The functional is GGA-PBE.

Values from the calculation:
energy relative to the elements, uncorrected: 0.281 eV per atom
crystal system: monoclinic

CIF file:
```
data_ZnRu2Se
_chemical_formula_sum 'Zn1 Ru2 Se1'
_space_group_name_H-M_alt 'P 1 2/m 1'
_space_group_IT_number 10
_cell_length_a 2.9603
_cell_length_b 3.9203
_cell_length_c 5.4047
_cell_angle_alpha 90.00
_cell_angle_beta 105.04
_cell_angle_gamma 90.00
loop_
_space_group_symop_operation_xyz
'x,y,z'
'-x,-y,-z'
'-x,y,-z'
'x,-y,z'
loop_
_atom_site_label
_atom_site_type_symbol
_atom_site_fract_x
_atom_site_fract_y
_atom_site_fract_z
Zn1 Zn 0.0000 0.0000 0.0000
Ru1 Ru 0.3760 0.5000 0.7367
Se1 Se 0.5000 0.0000 0.5000
```


[4]
This record from Alexandria describes a relaxed Rb4GeBr6 crystal. The functional is GGA-PBE.

Values from the calculation:
energy relative to the elements, uncorrected: -1.424 eV per atom
crystal system: tetragonal

CIF file:
```
data_Rb4GeBr6
_chemical_formula_sum 'Rb8 Ge2 Br12'
_space_group_name_H-M_alt 'P 4/m n c'
_space_group_IT_number 128
_space_group_name_Hall '-P 4 2n'
_cell_length_a 9.4211
_cell_length_b 9.4211
_cell_length_c 9.8344
_cell_angle_alpha 90.00
_cell_angle_beta 90.00
_cell_angle_gamma 90.00
loop_
_atom_site_label
_atom_site_type_symbol
_atom_site_fract_x
_atom_site_fract_y
_atom_site_fract_z
Rb1 Rb 0.1754 0.3246 0.2500
Ge1 Ge 0.0000 0.0000 0.0000
Br1 Br 0.0000 0.0000 0.2874
Br2 Br 0.0884 0.7044 0.0000
```


[5]
This record from Alexandria describes a relaxed Ba2CoMo crystal. The functional is GGA-PBE.

Values from the calculation:
calculated formation energy: 117.25 kJ per mole of atoms
crystal system: tetragonal

CIF file:
```
data_Ba2CoMo
_chemical_formula_sum 'Ba2 Co1 Mo1'
_space_group_name_H-M_alt 'P 4/m m m'
_space_group_IT_number 123
_space_group_name_Hall '-P 4 2'
_cell_length_a 5.5932
_cell_length_b 5.5932
_cell_length_c 3.9082
_cell_angle_alpha 90.00
_cell_angle_beta 90.00
_cell_angle_gamma 90.00
loop_
_atom_site_label
_atom_site_type_symbol
_atom_site_fract_x
_atom_site_fract_y
_atom_site_fract_z
Ba1 Ba 0.0000 0.5000 0.0000
Co1 Co 0.0000 0.0000 0.5000
Mo1 Mo 0.5000 0.5000 0.5000
```


[6]
This record from Alexandria describes a relaxed LiGaSe2 crystal. The functional is GGA-PBE.

Values from the calculation:
energy relative to the elements, uncorrected: -0.348 eV per atom
crystal system: tetragonal

CIF file:
```
data_LiGaSe2
_chemical_formula_sum 'Li4 Ga4 Se8'
_space_group_name_H-M_alt 'I 4/m c m'
_space_group_IT_number 140
_space_group_name_Hall '-I 4 2c'
_cell_length_a 6.5715
_cell_length_b 6.5715
_cell_length_c 7.0524
_cell_angle_alpha 90.00
_cell_angle_beta 90.00
_cell_angle_gamma 90.00
loop_
_atom_site_label
_atom_site_type_symbol
_atom_site_fract_x
_atom_site_fract_y
_atom_site_fract_z
Li1 Li 0.0000 0.5000 0.2500
Ga1 Ga 0.0000 0.0000 0.2500
Se1 Se 0.2102 0.2898 0.0000
```


[7]
This record from Alexandria describes a relaxed ScTaGaRe crystal. The functional is GGA-PBE.

Values from the calculation:
calculated formation energy: -25.03 kJ per mole of atoms
crystal system: cubic

CIF file:
```
data_ScTaGaRe
_chemical_formula_sum 'Sc4 Ta4 Ga4 Re4'
_space_group_name_H-M_alt 'F -4 3 m'
_space_group_IT_number 216
_space_group_name_Hall 'F -4 2 3'
_cell_length_a 6.4809
_cell_length_b 6.4809
_cell_length_c 6.4809
_cell_angle_alpha 90.00
_cell_angle_beta 90.00
_cell_angle_gamma 90.00
loop_
_atom_site_label
_atom_site_type_symbol
_atom_site_fract_x
_atom_site_fract_y
_atom_site_fract_z
Sc1 Sc 0.0000 0.0000 0.0000
Ta1 Ta 0.0000 0.0000 0.5000
Ga1 Ga 0.2500 0.2500 0.2500
Re1 Re 0.2500 0.2500 0.7500
```


[8]
This record from Alexandria describes a relaxed BePS2N crystal. The functional is GGA-PBE.

Values from the calculation:
energy relative to the elements, uncorrected: 0.798 eV per atom
crystal system: tetragonal

CIF file:
```
data_BePS2N
_chemical_formula_sum 'Be1 P1 S2 N1'
_space_group_name_H-M_alt 'P 4/m m m'
_space_group_IT_number 123
_space_group_name_Hall '-P 4 2'
_cell_length_a 4.5475
_cell_length_b 4.5475
_cell_length_c 3.1713
_cell_angle_alpha 90.00
_cell_angle_beta 90.00
_cell_angle_gamma 90.00
loop_
_atom_site_label
_atom_site_type_symbol
_atom_site_fract_x
_atom_site_fract_y
_atom_site_fract_z
Be1 Be 0.0000 0.0000 0.0000
P1 P 0.5000 0.5000 0.5000
S1 S 0.0000 0.5000 0.0000
N1 N 0.0000 0.0000 0.5000
```


[9]
This record from Alexandria describes a relaxed PrNdSmDy3 crystal. The functional is GGA-PBE.

Values from the calculation:
calculated formation energy: 17.34 kJ per mole of atoms
crystal system: monoclinic

CIF file:
```
data_PrNdSmDy3
_chemical_formula_sum 'Pr4 Nd4 Sm4 Dy12'
_space_group_name_H-M_alt 'C 1 2/m 1'
_space_group_IT_number 12
_cell_length_a 20.1125
_cell_length_b 5.6648
_cell_length_c 7.0636
_cell_angle_alpha 90.00
_cell_angle_beta 90.07
_cell_angle_gamma 90.00
loop_
_space_group_symop_operation_xyz
'x,y,z'
'-x,-y,-z'
'-x,y,-z'
'x,-y,z'
'x+1/2,y+1/2,z'
'-x+1/2,-y+1/2,-z'
'-x+1/2,y+1/2,-z'
'x+1/2,-y+1/2,z'
loop_
_atom_site_label
_atom_site_type_symbol
_atom_site_fract_x
_atom_site_fract_y
_atom_site_fract_z
Pr1 Pr 0.1471 0.0000 0.0342
Nd1 Nd 0.0552 0.5000 0.2551
Sm1 Sm 0.1484 0.0000 0.4623
Dy1 Dy 0.0228 0.0000 0.7461
Dy2 Dy 0.1653 0.5000 0.7439
Dy3 Dy 0.2212 0.5000 0.2487
```


[10]
This record from Alexandria describes a relaxed Mg12Tl3Pt crystal. The functional is GGA-PBE.

Values from the calculation:
calculated formation energy: -14.39 kJ per mole of atoms
crystal system: tetragonal

CIF file:
```
data_Mg12Tl3Pt
_chemical_formula_sum 'Mg12 Tl3 Pt1'
_space_group_name_H-M_alt 'P 4/m m m'
_space_group_IT_number 123
_space_group_name_Hall '-P 4 2'
_cell_length_a 4.4661
_cell_length_b 4.4661
_cell_length_c 17.5148
_cell_angle_alpha 90.00
_cell_angle_beta 90.00
_cell_angle_gamma 90.00
loop_
_atom_site_label
_atom_site_type_symbol
_atom_site_fract_x
_atom_site_fract_y
_atom_site_fract_z
Mg1 Mg 0.0000 0.0000 0.0000
Mg2 Mg 0.0000 0.0000 0.2367
Mg3 Mg 0.0000 0.0000 0.5000
Mg4 Mg 0.0000 0.5000 0.1047
Mg5 Mg 0.0000 0.5000 0.3685
Tl1 Tl 0.5000 0.5000 0.2377
Tl2 Tl 0.5000 0.5000 0.5000
Pt1 Pt 0.5000 0.5000 0.0000
```


[11]
This record from Alexandria describes a relaxed RbTl6Pb6 crystal. The functional is GGA-PBE.

Values from the calculation:
calculated formation energy: -1.45 kJ per mole of atoms
crystal system: orthorhombic

CIF file:
```
data_RbTl6Pb6
_chemical_formula_sum 'Rb2 Tl12 Pb12'
_space_group_name_H-M_alt 'C m m m'
_space_group_IT_number 65
_space_group_name_Hall '-C 2 2'
_cell_length_a 6.7353
_cell_length_b 11.6988
_cell_length_c 11.1994
_cell_angle_alpha 90.00
_cell_angle_beta 90.00
_cell_angle_gamma 90.00
loop_
_atom_site_label
_atom_site_type_symbol
_atom_site_fract_x
_atom_site_fract_y
_atom_site_fract_z
Rb1 Rb 0.0000 0.0000 0.0000
Tl1 Tl 0.0000 0.0000 0.3562
Tl2 Tl 0.0000 0.3301 0.0000
Tl3 Tl 0.0000 0.3374 0.5000
Pb1 Pb 0.0000 0.5000 0.2436
Pb2 Pb 0.2500 0.2500 0.2480
```


[12]
This record from Alexandria describes a relaxed BeCdRe2 crystal. The functional is GGA-PBE.

Values from the calculation:
calculated formation energy: 47.13 kJ per mole of atoms
crystal system: trigonal

CIF file:
```
data_BeCdRe2
_chemical_formula_sum 'Be3 Cd3 Re6'
_space_group_name_H-M_alt 'R -3 m'
_space_group_IT_number 166
_space_group_name_Hall '-R 3 2"'
_cell_length_a 2.7662
_cell_length_b 2.7662
_cell_length_c 26.8856
_cell_angle_alpha 90.00
_cell_angle_beta 90.00
_cell_angle_gamma 120.00
loop_
_atom_site_label
_atom_site_type_symbol
_atom_site_fract_x
_atom_site_fract_y
_atom_site_fract_z
Be1 Be 0.0000 0.0000 0.0000
Cd1 Cd 0.0000 0.0000 0.5000
Re1 Re 0.0000 0.0000 0.2598
```


Number 1: VASP energy -4.046 eV per atom. Number 2: VASP energy -2.224 eV per atom. Number 3: VASP energy -5.546 eV per atom. Number 4: VASP energy -3.108 eV per atom. Number 5: VASP energy -4.230 eV per atom. Number 6: VASP energy -3.326 eV per atom. Number 7: VASP energy -8.674 eV per atom. Number 8: VASP energy -4.346 eV per atom. Number 9: VASP energy -4.499 eV per atom. Number 10: VASP energy -2.166 eV per atom. Number 11: VASP energy -2.893 eV per atom. Number 12: VASP energy -6.896 eV per atom.